Record 1
Density functional theory data (PBE) for an optimized crystal structure of CrCd2Rh.

a b c (Å): 7.4301 7.4301 5.8809
angles (deg): 50.82 50.82 90.00
Closest atoms and distances in Å follow each position.
Atoms (fractional coordinates):
Cd  0.8750  0.8747  0.7500  2 Cd 2.64, 2 Cr 2.71, 2 Rh 2.71
Cd  0.1253  0.6250  0.2500  2 Cd 2.64, 2 Cr 2.71, 2 Rh 2.71
Cd  0.6247  0.1250  0.2500  2 Cd 2.64, 2 Cr 2.71, 2 Rh 2.71
Cd  0.3750  0.3753  0.7500  2 Cd 2.64, 2 Cr 2.71, 2 Rh 2.71
Cr  0.2500  0.7500  0.5000  2 Rh 2.64, 4 Cd 2.71
Cr  0.5000  0.5000  0.0000  2 Rh 2.64, 4 Cd 2.71
Rh  0.0000  0.0000  0.0000  2 Cr 2.64, 4 Cd 2.71
Rh  0.7500  0.2500  0.5000  2 Cr 2.64, 4 Cd 2.71

Properties
The space-group type is I-42d, No. 122. The calculation puts the calculated formation energy at 0.8159 eV per atom. The calculation puts the magnetization at 0.0 μB/cell. Its total energy is -15.5 eV per formula unit. For the distance to the lowest polymorph of the same formula, the calculation gives 741 meV per atom. Its density of states at the Fermi level is 1.293 states/eV per atom.

***

Record 2
Density functional theory data (PBE) for an optimized crystal structure of CrCdRh2.

a b c (Å): 2.7983 2.7983 7.5732
angles (deg): 90.00 90.00 90.00
Closest atoms and distances in Å follow each position.
Atoms (fractional coordinates):
Rh  0.0000  0.0000  0.5340  4 Cr 2.57, 4 Rh 2.80
Rh  0.0000  0.0000  0.9660  4 Cr 2.57, 4 Rh 2.80
Cr  0.5000  0.5000  0.7500  8 Rh 2.57, 4 Cr 2.80
Cd  0.5000  0.5000  0.2500  4 Cd 2.80, 8 Rh 2.92

Properties
The space-group type is P4/mmm, No. 123. The calculation puts the calculated formation energy at -0.1018 eV per atom. The calculation puts the magnetization at 0.0 μB/cell. Its total energy is -25.6 eV per formula unit. Its density of states at the Fermi level is 0.702 states/eV per atom.

***

Record 3
Density functional theory data (PBE) for an optimized crystal structure of CrCdRh2.

a b c (Å): 4.3056 2.8174 5.2661
angles (deg): 74.45 90.00 90.00
Closest atoms and distances in Å follow each position.
Atoms (fractional coordinates):
Rh  0.0000  0.8187  0.9865  2 Cr 2.42, 1 Cd 2.65
Rh  0.5000  0.1940  0.2362  3 Cr 2.70-2.76, 6 Rh 2.82-2.87, 4 Cd 2.92
Cd  0.0000  0.5586  0.5086  7 Rh 2.65-2.92, 2 Cd 2.82, 4 Cr 2.89
Cr  0.5000  0.9287  0.7687  3 Rh 2.42-2.70

Properties
The space-group type is Amm2, No. 38. The calculation puts the calculated formation energy at 0.1688 eV per atom. The calculation puts the magnetization at 1.7 μB/cell. Its total energy is -24.6 eV per formula unit. Its density of states at the Fermi level is 1.153 states/eV per atom.

***

Record 4
Density functional theory data (PBE) for an optimized crystal structure of CrCd2Rh.

a b c (Å): 2.9570 2.9570 7.9897
angles (deg): 90.00 90.00 90.00
Closest atoms and distances in Å follow each position.
Atoms (fractional coordinates):
Rh  0.5000  0.5000  0.7160  4 Cr 2.53
Cd  0.0000  0.0000  0.9702  4 Rh 2.91, 8 Cd 2.96-3.22
Cd  0.5000  0.5000  0.2771  4 Cr 2.95, 8 Cd 2.96-3.22
Cr  0.0000  0.0000  0.5367  4 Rh 2.53

Properties
The space-group type is P4mm, No. 99. The calculation puts the calculated formation energy at 0.0750 eV per atom. The calculation puts the magnetization at 2.3 μB/cell. Its total energy is -18.5 eV per formula unit. For the distance to the lowest polymorph of the same formula, the calculation gives 0 meV per atom. Its density of states at the Fermi level is 0.906 states/eV per atom.

***

Record 5
Density functional theory data (PBE) for an optimized crystal structure of CrCdRh2.

a b c (Å): 4.7061 4.7061 4.9347
angles (deg): 77.90 77.90 35.30
Closest atoms and distances in Å follow each position.
Atoms (fractional coordinates):
Rh  0.9882  0.9882  0.0217  3 Cr 2.61-2.82, 4 Rh 2.71-2.85, 3 Cd 2.76-2.82
Rh  0.5118  0.5118  0.4783  3 Cr 2.61-2.82, 4 Rh 2.71-2.85, 3 Cd 2.76-2.82
Cd  0.7500  0.7500  0.7500  6 Rh 2.76-2.82, 4 Cr 2.85, 2 Cd 2.85
Cr  0.2500  0.2500  0.2500  6 Rh 2.61-2.82, 4 Cd 2.85, 2 Cr 2.85

Properties
The space-group type is C2/m, No. 12. The calculation puts the calculated formation energy at 0.0900 eV per atom. The calculation puts the magnetization at 2.9 μB/cell. Its total energy is -24.9 eV per formula unit. Its density of states at the Fermi level is 1.008 states/eV per atom.

***

Record 6
Density functional theory data (PBE) for an optimized crystal structure of CrCd2Rh.

a b c (Å): 4.1713 4.1722 4.0101
angles (deg): 90.00 90.00 90.00
Closest atoms and distances in Å follow each position.
Atoms (fractional coordinates):
Cr  0.5000  0.0000  0.5000  8 Cd 2.89, 4 Rh 2.95
Cd  0.5000  0.5000  0.0000  4 Rh 2.89, 4 Cr 2.89, 4 Cd 2.95
Cd  0.0000  0.0000  0.0000  4 Cr 2.89, 4 Rh 2.89, 4 Cd 2.95
Rh  0.0000  0.5000  0.5000  8 Cd 2.89, 4 Cr 2.95

Properties
The space-group type is P4/mmm, No. 123. The calculation puts the calculated formation energy at 0.1185 eV per atom. The calculation puts the magnetization at 4.5 μB/cell. Its total energy is -18.3 eV per formula unit. For the distance to the lowest polymorph of the same formula, the calculation gives 43 meV per atom. Its density of states at the Fermi level is 0.290 states/eV per atom.